# HfCr2AsPd

HfCr2AsPd after structural relaxation (GGA-PBE, the Alexandria database).

Structure (POSCAR):
```
HfCr2AsPd
1.0
4.458 0.000 0.000
0.000 4.458 0.000
0.000 0.000 4.987
Hf Cr As Pd
1 2 1 1
Direct
0.000 0.000 0.000 Hf
0.000 0.500 0.500 Cr
0.500 0.000 0.500 Cr
0.000 0.000 0.500 As
0.500 0.500 0.000 Pd
```

Calculated values
DFT formation energy	0.58	eV/atom
space group	P4/mmm
DFT total energy	-7.23	eV per atom
N(E_F)	0.918	states/eV/atom